# 1
A relaxed BeFeTe crystal. Source: the Alexandria database, functional PBEsol.

size of the total moment: 1.7 Bohr magnetons per cell
formation energy without anion corrections: 427 meV per atom

a b c (Å): 3.8001 3.8001 3.4449
angles (deg): 90.00 90.00 120.00
Sites, in units of the cell vectors:
Be  0.0000  0.0000  0.0000
Fe  0.3333  0.6667  0.0000
Te  0.6667  0.3333  0.5000


# 2
A relaxed BeFeTe2 crystal. Source: the Alexandria database, functional PBEsol.

size of the total moment: 2.8 Bohr magnetons per cell
formation energy without anion corrections: 538 meV per atom

a b c (Å): 5.0263 5.0263 5.0263
angles (deg): 137.31 114.48 81.41
Sites, in units of the cell vectors:
Be  0.0000  0.0000  0.0000
Fe  0.5000  0.5000  0.0000
Te  0.2213  0.7213  0.5000
Te  0.7787  0.2787  0.5000


Question: Number 2 is which compound?
Answer: BeFeTe2


Repeat the second record exactly.
A relaxed BeFeTe2 crystal. Source: the Alexandria database, functional PBEsol.

size of the total moment: 2.8 Bohr magnetons per cell
formation energy without anion corrections: 538 meV per atom

a b c (Å): 5.0263 5.0263 5.0263
angles (deg): 137.31 114.48 81.41
Sites, in units of the cell vectors:
Be  0.0000  0.0000  0.0000
Fe  0.5000  0.5000  0.0000
Te  0.2213  0.7213  0.5000
Te  0.7787  0.2787  0.5000


Question: Number 1 is which compound?
Answer: BeFeTe